DFT (PBE) results for an optimized crystal structure of Ac8Si3PdI4.

a b c (Å): 9.1774 9.1774 24.3810
angles (deg): 90.00 90.00 120.00
With the nearest neighbours (Å) after each atom.
Space group R-3m (No. 166, hexagonal axes)
One atom of each set of equivalent atoms:
Ac1 0.0000 0.0000 0.2340 x6  3 Si 3.12
Ac2 0.0024 0.5012 0.2330 x18  1 Pd 3.09, 2 Si 3.11
Si1 0.0000 0.5000 0.5000 x9  6 Ac 3.11-3.12
Pd1 0.0000 0.0000 0.5000 x3  6 Ac 3.09
I1 0.0000 0.0000 0.0000 x3  6 Ac 3.62
I2 0.0000 0.5000 0.0000 x9  6 Ac 3.59-3.60

formation energy without anion corrections = -0.900 eV/atom
D(E_F) = 12.5 states/eV/f.u.
calculated volume = 593 Å³/f.u.
final energy = -4.6832 eV per atom


DFT (PBE) results for an optimized crystal structure of Zr2HgPt.

a b c (Å): 6.4575 8.1287 3.0415
angles (deg): 90.00 90.00 90.00
With the nearest neighbours (Å) after each atom.
Space group Cmmm (No. 65)
One atom of each set of equivalent atoms:
Zr1 0.2500 0.2500 0.0000 x4  4 Hg 3.01, 4 Pt 3.01, 4 Zr 3.04-3.23
Hg1 0.0000 0.0000 0.5000 x2  8 Zr 3.01, 2 Hg 3.04, 2 Pt 3.23
Pt1 0.0000 0.5000 0.5000 x2  8 Zr 3.01, 2 Pt 3.04, 2 Hg 3.23

D(E_F) = 4.0 states/eV/f.u.
formation enthalpy at 0 K = -0.478 eV/atom
calculated volume = 80 Å³/f.u.
final energy = -6.3377 eV per atom


DFT (PBE) results for an optimized crystal structure of Sr3Ir.

a b c (Å): 4.1044 7.5132 10.4181
angles (deg): 90.00 90.00 90.00
With the nearest neighbours (Å) after each atom.
Space group Pmmn (No. 59, origin choice 2)
One atom of each set of equivalent atoms:
Sr1 0.2500 0.0164 0.1840 x4  2 Ir 3.00
Sr2 0.2500 0.2500 0.5189 x2  2 Ir 2.99
Ir1 0.2500 0.7500 0.6899 x2  6 Sr 2.99-3.00

D(E_F) = 2.6 states/eV/f.u.
formation enthalpy at 0 K = -0.066 eV/atom
calculated volume = 161 Å³/f.u.
final energy = -3.5427 eV per atom